[1]
PBE-GGA TmHf2UN4, optimized geometry; space group = No. 119; N(E_F) = 5.5 states/eV/cell; E_tot = -10.2827 eV/atom; formation energy (no corrections) = -1.662 eV/atom
1.0
4.691 0.002 0.000
-0.002 4.691 0.000
-2.344 -2.346 4.650
Tm Hf U N
1 2 1 4
Cartesian
2.344 2.346 0.000 Tm
-0.001 2.345 2.325 Hf
0.000 0.000 0.000 Hf
2.345 0.001 2.325 U
2.345 0.001 4.639 N
2.345 0.001 0.011 N
2.344 2.346 2.374 N
0.000 0.000 2.276 N

[2]
PBE-GGA SiTcAs2, optimized geometry; space group = No. 12; N(E_F) = 2.2 states/eV/cell; E_tot = -6.0526 eV/atom; formation energy (no corrections) = 0.219 eV/atom
1.0
4.719 0.020 0.004
3.658 2.982 0.004
0.588 0.211 4.607
As Si Tc
2 1 1
Cartesian
8.157 2.922 0.083 As
4.702 1.685 2.232 As
6.724 2.409 3.461 Si
2.241 0.803 1.154 Tc

[3]
PBE-GGA TbZn12Rh6, optimized geometry; space group = No. 166; ΔE_f = -0.1814 eV per atom; N(E_F) = 12.5 states/eV/cell; E_tot = -3.5512 eV/atom
1.0
7.069 0.004 0.006
-1.748 6.849 0.006
-1.748 -2.252 6.469
Tb Zn Rh
1 12 6
Cartesian
0.000 0.000 0.000 Tb
5.216 -0.361 3.241 Zn
3.951 2.762 3.889 Zn
1.696 2.185 5.542 Zn
1.877 0.090 2.592 Zn
1.877 2.418 0.939 Zn
-0.378 1.841 2.592 Zn
-1.643 1.424 5.754 Zn
1.786 5.841 0.727 Zn
-1.643 4.964 3.241 Zn
5.216 3.179 0.727 Zn
1.786 -1.239 5.754 Zn
1.696 4.512 3.889 Zn
4.039 1.253 1.764 Rh
0.213 0.274 4.569 Rh
0.213 4.223 1.764 Rh
3.360 4.328 1.913 Rh
-0.466 3.349 4.717 Rh
3.360 0.379 4.717 Rh

[4]
PBE-GGA Rb3DySb2Se6, optimized geometry; space group = No. 12; E_tot = -4.0860 eV/atom; formation energy (no corrections) = -1.031 eV/atom
1.0
7.405 -0.001 0.001
-3.701 6.414 0.001
-1.235 -2.138 7.977
Rb Dy Sb Se
3 1 2 6
Cartesian
-2.448 4.265 3.989 Rb
4.917 0.011 3.989 Rb
1.235 2.138 3.989 Rb
0.000 0.000 0.000 Dy
0.003 4.274 0.001 Sb
3.700 2.139 0.001 Sb
3.694 2.153 6.417 Se
2.478 4.290 1.566 Se
-1.225 2.123 1.561 Se
0.018 4.276 6.417 Se
-0.008 -0.015 6.412 Se
2.451 -0.001 1.561 Se

[5]
PBE-GGA LaHo4Hg5, optimized geometry; space group = No. 123; ΔE_f = -0.4842 eV per atom; N(E_F) = 9.0 states/eV/cell; E_tot = -2.9589 eV/atom
1.0
3.726 0.000 0.000
0.000 3.726 0.000
0.000 0.000 18.937
La Ho Hg
1 4 5
Cartesian
0.000 0.000 0.000 La
0.000 0.000 3.938 Ho
0.000 0.000 7.630 Ho
0.000 0.000 11.308 Ho
0.000 0.000 14.999 Ho
1.863 1.863 2.175 Hg
1.863 1.863 5.778 Hg
1.863 1.863 9.469 Hg
1.863 1.863 13.159 Hg
1.863 1.863 16.763 Hg

[6]
PBE-GGA Ni8Rh2W3, optimized geometry; space group = No. 166; ΔE_f = 0.1660 eV per atom; N(E_F) = 14.0 states/eV/cell; E_tot = -7.5119 eV/atom
1.0
-4.474 -1.046 0.012
-1.332 -4.397 -0.086
-1.863 -2.017 9.263
Ni Rh W
8 2 3
Cartesian
-5.747 -5.608 7.502 Ni
-1.922 -1.852 1.688 Ni
-2.579 -4.075 2.798 Ni
-4.150 -2.400 2.847 Ni
-4.816 -4.598 2.804 Ni
-3.519 -5.060 6.344 Ni
-5.090 -3.385 6.393 Ni
-2.853 -2.862 6.386 Ni
-3.865 -3.644 0.657 Rh
-3.804 -3.816 8.533 Rh
0.000 0.000 0.000 W
-5.766 -5.555 5.061 W
-1.903 -1.905 4.129 W

> Among the records above, which one has the highest E_tot?

LaHo4Hg5

Please write out number 6 again, unchanged.
PBE-GGA Ni8Rh2W3, optimized geometry; space group = No. 166; ΔE_f = 0.1660 eV per atom; N(E_F) = 14.0 states/eV/cell; E_tot = -7.5119 eV/atom
1.0
-4.474 -1.046 0.012
-1.332 -4.397 -0.086
-1.863 -2.017 9.263
Ni Rh W
8 2 3
Cartesian
-5.747 -5.608 7.502 Ni
-1.922 -1.852 1.688 Ni
-2.579 -4.075 2.798 Ni
-4.150 -2.400 2.847 Ni
-4.816 -4.598 2.804 Ni
-3.519 -5.060 6.344 Ni
-5.090 -3.385 6.393 Ni
-2.853 -2.862 6.386 Ni
-3.865 -3.644 0.657 Rh
-3.804 -3.816 8.533 Rh
0.000 0.000 0.000 W
-5.766 -5.555 5.061 W
-1.903 -1.905 4.129 W

> E_tot of number 6 (Ni8Rh2W3)?

-7.5119 eV/atom

> Which formula does entry 1 have?

TmHf2UN4